[1]
Below is an optimized crystal structure of Sc4WBr, with properties calculated at the PBE-GGA level.

```
Sc4WBr
1.0
-4.4183 -3.6444 -0.5054
-5.3374 2.0287 -0.6747
-2.6806 -0.5850 -5.0528
Sc W Br
4 1 1
Direct
0.8636 0.3788 0.3788 Sc
0.3788 0.3788 0.8636 Sc
0.3788 0.8636 0.3788 Sc
0.3788 0.3788 0.3788 Sc
0.7500 0.7500 0.7500 W
0.0000 0.0000 0.0000 Br
```

Summary:
final energy	-0.2180	hartree per atom
mass density	5.48	g cm⁻³
space-group type	F-43m
total magnetization	0.000	μB per atom
D(E_F)	1.11	states/eV per atom

---

[2]
Below is an optimized crystal structure of ScW2Br, with properties calculated at the PBE-GGA level.

```
ScW2Br
1.0
7.9486 0.0000 0.0000
0.0000 7.9486 0.0000
3.9743 3.9743 2.4898
Sc Br W
2 2 4
Direct
0.5000 0.5000 0.0000 Sc
0.2500 0.7500 0.5000 Sc
0.0000 0.0000 0.0000 Br
0.7500 0.2500 0.5000 Br
0.6888 0.1250 0.2500 W
0.0612 0.6250 0.2500 W
0.3750 0.3112 0.7500 W
0.8750 0.9388 0.7500 W
```

Summary:
final energy	-0.2706	hartree per atom
mass density	10.40	g cm⁻³
space-group type	I-42d
total magnetization	0.000	μB per atom
D(E_F)	0.81	states/eV per atom

---

[3]
Below is an optimized crystal structure of ScW2Br, with properties calculated at the PBE-GGA level.

```
ScW2Br
1.0
5.3611 0.0001 -0.0035
1.8262 5.0405 0.0035
-2.8877 -3.5269 2.8220
Br Sc W
1 1 2
Direct
0.5137 0.5137 0.0000 Br
0.2602 0.7602 0.5000 Sc
0.9687 0.9687 0.0000 W
0.7574 0.2574 0.5000 W
```

Summary:
final energy	-0.2871	hartree per atom
mass density	10.72	g cm⁻³
space-group type	Imm2
total magnetization	0.000	μB per atom
D(E_F)	0.67	states/eV per atom

---

What is the formula in the third record?
ScW2Br